(1)
Density functional theory data (GGA-PBE) for an optimized crystal structure of BeNiP.

POSCAR file:
```
BeNiP
1.0
-3.417 1.085 3.901
-1.173 0.746 5.113
0.210 2.544 0.325
Be P Ni
1 1 1
direct
0.987 0.987 0.013
0.671 0.671 0.329
0.341 0.341 0.659
```

Properties
The energy relative to the elements comes out at 0.0353 eV/atom. As for the symmetry: No. 107. The calculation puts the total energy at -4.937 eV per atom.



(2)
Density functional theory data (GGA-PBE) for an optimized crystal structure of HoCrB.

POSCAR file:
```
HoCrB
1.0
3.416 0.000 0.000
0.000 3.416 0.000
0.000 0.000 8.131
Ho B Cr
2 2 2
direct
0.000 0.500 0.815
0.500 0.000 0.185
0.500 0.000 0.667
0.000 0.500 0.333
0.500 0.500 0.500
0.000 0.000 0.500
```

Properties
The energy relative to the elements comes out at -0.2510 eV/atom. As for the symmetry: No. 129. The calculation puts the total energy at -7.211 eV per atom.



(3)
Density functional theory data (GGA-PBE) for an optimized crystal structure of ScInP2.

POSCAR file:
```
ScInP2
1.0
5.868 0.008 0.000
3.393 4.788 0.000
-4.631 -2.398 2.692
Sc In P
1 1 2
direct
0.500 0.500 0.000
0.750 0.250 0.500
0.000 0.000 0.000
0.250 0.750 0.500
```

Properties
The energy relative to the elements comes out at -0.3829 eV/atom. As for the symmetry: No. 119. The calculation puts the total energy at -5.355 eV per atom.



(4)
Density functional theory data (GGA-PBE) for an optimized crystal structure of KTe2WSe.

POSCAR file:
```
KTe2WSe
1.0
5.564 0.000 0.000
0.000 5.564 0.000
0.000 0.000 5.579
Te W Se K
2 1 1 1
direct
0.000 0.500 0.000
0.500 0.000 0.000
0.500 0.500 0.500
0.000 0.000 0.000
0.000 0.000 0.500
```

Properties
The uncorrected formation energy is 1168.6 meV/atom. As for the symmetry: No. 123. The calculation puts the total energy at -3.595 eV per atom.



(5)
Density functional theory data (GGA-PBE) for an optimized crystal structure of Ac2PaN3.

POSCAR file:
```
Ac2PaN3
1.0
6.410 0.062 -1.196
-2.422 5.935 -1.196
-0.057 -0.085 11.734
Ac N Pa
8 12 4
direct
0.749 0.749 0.497
0.501 0.001 0.003
0.833 0.333 0.666
0.999 0.499 0.997
0.251 0.251 0.503
0.417 0.417 0.834
0.583 0.583 0.166
0.667 0.167 0.334
0.806 0.806 0.000
0.293 0.839 0.184
0.359 0.405 0.316
0.655 0.109 0.816
0.444 0.944 0.500
0.194 0.194 0.000
0.089 0.043 0.684
0.957 0.911 0.316
0.161 0.707 0.816
0.891 0.345 0.184
0.056 0.556 0.500
0.595 0.641 0.684
0.334 0.834 0.667
0.084 0.084 0.167
0.166 0.666 0.333
0.916 0.916 0.833
```

Properties
The uncorrected formation energy is -1326.3 meV/atom. As for the symmetry: No. 70. The calculation puts the total energy at -8.441 eV per atom.



(6)
Density functional theory data (GGA-PBE) for an optimized crystal structure of K3Sc3UTe8.

POSCAR file:
```
K3Sc3UTe8
1.0
-5.059 4.613 5.175
-1.771 -8.264 -1.481
7.556 1.800 5.782
Sc Te K U
3 8 3 1
direct
0.500 0.000 0.500
0.000 0.500 0.500
0.500 0.500 0.500
0.267 0.535 0.303
0.721 0.962 0.702
0.760 0.038 0.298
0.279 0.038 0.298
0.240 0.480 0.702
0.240 0.962 0.702
0.760 0.520 0.298
0.733 0.465 0.697
0.000 0.000 0.000
0.000 0.500 0.000
0.500 0.500 0.000
0.000 0.000 0.500
```

Properties
The uncorrected formation energy is -1133.2 meV/atom. As for the symmetry: No. 166. The calculation puts the total energy at -5.047 eV per atom.



(7)
Density functional theory data (GGA-PBE) for an optimized crystal structure of Cs4Pr3TmS8.

POSCAR file:
```
Cs4Pr3TmS8
1.0
8.455 0.000 0.000
0.000 9.430 0.677
-4.228 -4.220 5.983
S Pr Tm Cs
8 3 1 4
direct
0.222 0.684 0.444
0.730 0.689 0.460
0.260 0.316 0.038
0.778 0.316 0.556
0.740 0.684 0.962
0.778 0.316 0.038
0.222 0.684 0.962
0.270 0.311 0.540
0.500 0.500 0.500
0.000 0.500 0.500
0.500 0.500 0.000
0.000 0.500 0.000
0.500 0.000 0.500
0.000 0.000 0.500
0.000 0.000 0.000
0.500 0.000 0.000
```

Properties
The uncorrected formation energy is -1801.5 meV/atom. As for the symmetry: No. 166. The calculation puts the total energy at -5.254 eV per atom.



(8)
Density functional theory data (GGA-PBE) for an optimized crystal structure of SrCaZr2W.

POSCAR file:
```
SrCaZr2W
1.0
5.155 0.000 0.000
0.000 6.095 0.000
0.000 0.000 5.155
Ca Zr Sr W
1 2 1 1
direct
0.500 0.500 0.500
0.500 0.000 0.000
0.000 0.000 0.500
0.000 0.500 0.000
0.000 0.000 0.000
```

Properties
The energy relative to the elements comes out at 0.7215 eV/atom. As for the symmetry: No. 123. The calculation puts the total energy at -6.025 eV per atom.



(9)
Density functional theory data (GGA-PBE) for an optimized crystal structure of Pm4TeAs2.

POSCAR file:
```
Pm4TeAs2
1.0
4.165 0.000 0.605
2.038 3.632 0.605
0.073 0.043 14.128
As Pm Te
2 4 1
direct
0.578 0.578 0.267
0.422 0.422 0.733
0.871 0.871 0.388
0.129 0.129 0.612
0.716 0.716 0.851
0.284 0.284 0.149
0.000 0.000 0.000
```

Properties
The uncorrected formation energy is -1248.2 meV/atom. As for the symmetry: No. 166. The calculation puts the total energy at -5.740 eV per atom.



(10)
Density functional theory data (GGA-PBE) for an optimized crystal structure of Tl2InBi.

POSCAR file:
```
Tl2InBi
1.0
-1.182 -1.512 4.627
0.204 -4.866 1.174
5.831 -1.434 3.732
Tl In Bi
2 1 1
direct
0.077 0.077 0.770
0.257 0.257 0.229
0.496 0.496 0.512
0.671 0.671 0.988
```

Properties
The energy relative to the elements comes out at 0.0905 eV/atom. As for the symmetry: No. 160. The calculation puts the total energy at -2.747 eV per atom.



(11)
Density functional theory data (GGA-PBE) for an optimized crystal structure of ZrSnPdAu.

POSCAR file:
```
ZrSnPdAu
1.0
4.433 0.000 0.000
0.000 4.433 -0.002
-2.217 -2.215 3.928
Pd Au Sn Zr
1 1 1 1
direct
0.000 0.000 0.000
0.500 0.500 0.000
0.750 0.250 0.500
0.250 0.750 0.500
```

Properties
The energy relative to the elements comes out at -0.5333 eV/atom. As for the symmetry: No. 119. The calculation puts the total energy at -5.789 eV per atom.



(12)
Density functional theory data (GGA-PBE) for an optimized crystal structure of Hf3ThGa2.

POSCAR file:
```
Hf3ThGa2
1.0
-3.525 -2.309 -0.764
4.894 -5.290 5.413
-4.767 6.143 3.424
Hf Ga Th
6 4 2
direct
0.948 0.897 0.599
0.688 0.376 0.481
0.402 0.804 0.300
0.598 0.196 0.700
0.052 0.103 0.401
0.312 0.624 0.519
0.781 0.563 0.257
0.219 0.437 0.743
0.479 0.958 0.839
0.521 0.042 0.161
0.868 0.736 0.931
0.132 0.264 0.069
```

Properties
The energy relative to the elements comes out at -0.2542 eV/atom. As for the symmetry: No. 12. The calculation puts the total energy at -7.476 eV per atom.



(13)
Density functional theory data (GGA-PBE) for an optimized crystal structure of Rb4Au2O.

POSCAR file:
```
Rb4Au2O
1.0
-3.146 0.449 -4.604
-4.176 -2.673 2.592
-6.801 6.604 1.893
Au Rb O
2 4 1
direct
0.642 0.642 0.716
0.358 0.358 0.284
0.500 0.000 0.000
0.154 0.154 0.692
0.846 0.846 0.308
0.000 0.500 0.000
0.000 0.000 0.000
```

Properties
The uncorrected formation energy is -577.2 meV/atom. As for the symmetry: No. 139. The calculation puts the total energy at -2.775 eV per atom.



(14)
Density functional theory data (GGA-PBE) for an optimized crystal structure of La4Sm3Y.

POSCAR file:
```
La4Sm3Y
1.0
-1.824 -5.205 -3.339
1.850 -4.329 5.738
-10.986 1.063 4.343
Sm La Y
6 8 2
direct
0.481 0.377 0.750
0.981 0.623 0.750
0.648 0.623 0.000
0.481 0.377 0.250
0.148 0.377 0.500
0.981 0.623 0.250
0.977 0.128 0.250
0.977 0.128 0.750
0.152 0.877 0.000
0.652 0.123 0.500
0.477 0.872 0.250
0.477 0.872 0.750
0.151 0.873 0.500
0.651 0.127 0.000
0.149 0.379 0.000
0.649 0.621 0.500
```

Properties
The energy relative to the elements comes out at 0.0323 eV/atom. As for the symmetry: No. 31. The calculation puts the total energy at -5.009 eV per atom.



(15)
Density functional theory data (GGA-PBE) for an optimized crystal structure of InCu3Tc.

POSCAR file:
```
InCu3Tc
1.0
4.714 0.000 0.000
0.000 4.714 0.000
0.000 0.000 4.714
Cu Tc In
3 1 1
direct
0.000 0.000 0.500
0.000 0.500 0.000
0.500 0.000 0.000
0.000 0.000 0.000
0.500 0.500 0.500
```

Properties
The energy relative to the elements comes out at 1.1832 eV/atom. As for the symmetry: No. 221. The calculation puts the total energy at -3.895 eV per atom.



(16)
Density functional theory data (GGA-PBE) for an optimized crystal structure of Cs3ZrPa3Se8.

POSCAR file:
```
Cs3ZrPa3Se8
1.0
8.198 0.000 0.000
-4.099 7.100 -0.032
0.000 -4.696 8.743
Se Pa Zr Cs
8 3 1 3
direct
0.262 0.039 0.315
0.224 0.961 0.685
0.732 0.463 0.694
0.268 0.537 0.306
0.776 0.552 0.315
0.224 0.448 0.685
0.776 0.039 0.315
0.738 0.961 0.685
0.500 0.500 0.500
0.000 0.500 0.500
0.500 0.000 0.500
0.000 0.000 0.500
0.000 0.500 0.000
0.500 0.500 0.000
0.000 0.000 0.000
```

Properties
The uncorrected formation energy is -1342.7 meV/atom. As for the symmetry: No. 166. The calculation puts the total energy at -5.841 eV per atom.



(17)
Density functional theory data (GGA-PBE) for an optimized crystal structure of RbAgSnHg2.

POSCAR file:
```
RbAgSnHg2
1.0
5.910 0.000 0.000
0.000 5.910 0.000
0.000 0.000 5.337
Ag Rb Hg Sn
1 1 2 1
direct
0.000 0.000 0.500
0.500 0.500 0.500
0.500 0.000 0.000
0.000 0.500 0.000
0.000 0.000 0.000
```

Properties
The energy relative to the elements comes out at -0.0108 eV/atom. As for the symmetry: No. 123. The calculation puts the total energy at -1.696 eV per atom.



(18)
Density functional theory data (GGA-PBE) for an optimized crystal structure of Rb2TcPtI6.

POSCAR file:
```
Rb2TcPtI6
1.0
-1.361 7.896 -0.836
-7.724 -1.514 -1.717
-5.859 3.557 4.321
I Rb Tc Pt
6 2 1 1
direct
0.252 0.252 0.495
0.748 0.748 0.505
0.249 0.249 0.000
0.751 0.249 0.000
0.249 0.751 0.000
0.751 0.751 0.000
0.250 0.750 0.500
0.750 0.250 0.500
0.500 0.500 0.000
0.000 0.000 0.000
```

Properties
The uncorrected formation energy is -470.2 meV/atom. As for the symmetry: No. 139. The calculation puts the total energy at -3.234 eV per atom.



(19)
Density functional theory data (GGA-PBE) for an optimized crystal structure of Pu6BiRh5.

POSCAR file:
```
Pu6BiRh5
1.0
5.258 -0.344 -1.615
-0.469 6.669 -0.133
-1.862 -0.040 7.996
Rh Pu Bi
5 6 1
direct
0.568 0.037 0.338
0.432 0.963 0.662
0.407 0.524 0.698
0.593 0.476 0.302
0.000 0.500 0.000
0.893 0.784 0.607
0.511 0.249 0.970
0.830 0.316 0.663
0.170 0.684 0.337
0.489 0.751 0.030
0.107 0.216 0.393
0.000 0.000 0.000
```

Properties
The energy relative to the elements comes out at -0.3117 eV/atom. As for the symmetry: No. 2. The calculation puts the total energy at -10.864 eV per atom.



(20)
Density functional theory data (GGA-PBE) for an optimized crystal structure of Y2Ga2SbRh5.

POSCAR file:
```
Y2Ga2SbRh5
1.0
-2.288 1.121 2.576
0.286 -8.904 4.128
7.608 2.810 5.534
Y Ga Rh Sb
4 4 10 2
direct
0.000 0.674 0.174
0.000 0.174 0.326
0.000 0.826 0.674
0.000 0.326 0.826
0.000 0.877 0.377
0.000 0.123 0.623
0.000 0.623 0.877
0.000 0.377 0.123
0.500 0.932 0.208
0.500 0.000 0.500
0.500 0.208 0.068
0.500 0.708 0.432
0.500 0.568 0.708
0.500 0.068 0.792
0.500 0.292 0.568
0.500 0.500 0.000
0.500 0.432 0.292
0.500 0.792 0.932
0.000 0.500 0.500
0.000 0.000 0.000
```

Properties
The uncorrected formation energy is -816.1 meV/atom. As for the symmetry: No. 127. The calculation puts the total energy at -6.802 eV per atom.



(21)
Density functional theory data (GGA-PBE) for an optimized crystal structure of SrGdTl.

POSCAR file:
```
SrGdTl
1.0
-2.831 2.201 1.746
-3.039 -0.293 -4.558
-0.548 -3.807 3.912
Gd Sr Tl
1 1 1
direct
0.215 0.667 0.333
0.684 0.333 0.667
0.101 0.000 0.000
```

Properties
The energy relative to the elements comes out at -0.1308 eV/atom. As for the symmetry: No. 156. The calculation puts the total energy at -6.174 eV per atom.



(22)
Density functional theory data (GGA-PBE) for an optimized crystal structure of Fe2SiCl.

POSCAR file:
```
Fe2SiCl
1.0
2.739 0.000 0.000
0.000 5.554 0.000
0.000 0.000 3.855
Fe Cl Si
2 1 1
direct
0.500 0.500 0.000
0.000 0.000 0.000
0.000 0.500 0.500
0.500 0.000 0.500
```

Properties
The uncorrected formation energy is 357.0 meV/atom. As for the symmetry: No. 47. The calculation puts the total energy at -5.692 eV per atom.



(23)
Density functional theory data (GGA-PBE) for an optimized crystal structure of Pm5PSe4.

POSCAR file:
```
Pm5PSe4
1.0
4.174 0.000 0.000
0.000 4.174 0.000
-2.087 -2.087 14.879
Pm Se P
5 4 1
direct
0.297 0.297 0.594
0.703 0.703 0.406
0.906 0.906 0.812
0.094 0.094 0.188
0.500 0.500 0.000
0.197 0.197 0.394
0.399 0.399 0.797
0.601 0.601 0.203
0.803 0.803 0.606
0.000 0.000 0.000
```

Properties
The uncorrected formation energy is -1812.8 meV/atom. As for the symmetry: No. 139. The calculation puts the total energy at -6.123 eV per atom.



In states/eV per atom, the D(E_F) values for the records above are, in order, 0.32; 0.78; 0.42; 0.57; 0.49; 0.35; 0.00; 1.07; 0.53; 0.46; 0.40; 0.84; 0.01; 1.72; 0.90; 1.04; 0.77; 0.20; 4.41; 0.27; 1.31; 0.81; 0.49.